Record 1
# CdSiTe2I (PBE-GGA, optimized geometry)
# Energy relative to the elements, uncorrected (eV/atom): 0.7458
# Size of the total moment (μB/cell): 0.00
# Excess energy over the best structure of this formula in the dataset (eV/atom): 0.449
data_CdSiTe2I
_chemical_formula_sum 'Cd1 Si1 Te2 I1'
_cell_length_a 5.6001
_cell_length_b 5.6001
_cell_length_c 5.7179
_cell_angle_alpha 90.00
_cell_angle_beta 90.00
_cell_angle_gamma 90.00
_space_group_name_H-M_alt 'P 4/m m m'
_space_group_IT_number 123
_space_group_name_Hall '-P 4 2'
loop_
_atom_site_label
_atom_site_type_symbol
_atom_site_fract_x
_atom_site_fract_y
_atom_site_fract_z
_atom_site_occupancy
Cd1 Cd 0.0000 0.0000 0.0000 1
Si1 Si 0.5000 0.5000 0.5000 1
Te1 Te 0.0000 0.5000 0.0000 1
I1 I 0.0000 0.0000 0.5000 1


Record 2
# BaIn2GaIr2 (PBE-GGA, optimized geometry)
# ΔH_f (0 K) (eV per atom): -0.230
# Size of the total moment (μB/cell): 0.00
data_BaIn2GaIr2
_chemical_formula_sum 'Ba1 In2 Ga1 Ir2'
_cell_length_a 4.7500
_cell_length_b 4.7500
_cell_length_c 6.4112
_cell_angle_alpha 90.00
_cell_angle_beta 90.00
_cell_angle_gamma 90.00
_space_group_name_H-M_alt 'P 4/m m m'
_space_group_IT_number 123
_space_group_name_Hall '-P 4 2'
loop_
_atom_site_label
_atom_site_type_symbol
_atom_site_fract_x
_atom_site_fract_y
_atom_site_fract_z
_atom_site_occupancy
Ba1 Ba 0.0000 0.0000 0.0000 1
In1 In 0.5000 0.5000 0.2498 1
Ga1 Ga 0.0000 0.0000 0.5000 1
Ir1 Ir 0.0000 0.5000 0.5000 1


Record 3
# TiZn3As (PBE-GGA, optimized geometry)
# ΔH_f (0 K) (eV per atom): 0.772
# Size of the total moment (μB/cell): 0.00
# Excess energy over the best structure of this formula in the dataset (eV/atom): 0.000
data_TiZn3As
_chemical_formula_sum 'Ti1 Zn3 As1'
_cell_length_a 4.7334
_cell_length_b 4.7334
_cell_length_c 4.7334
_cell_angle_alpha 90.00
_cell_angle_beta 90.00
_cell_angle_gamma 90.00
_space_group_name_H-M_alt 'P m -3 m'
_space_group_IT_number 221
_space_group_name_Hall '-P 4 2 3'
loop_
_atom_site_label
_atom_site_type_symbol
_atom_site_fract_x
_atom_site_fract_y
_atom_site_fract_z
_atom_site_occupancy
Ti1 Ti 0.0000 0.0000 0.0000 1
Zn1 Zn 0.0000 0.5000 0.5000 1
As1 As 0.5000 0.5000 0.5000 1


Record 4
# CsPa3Tl4O12 (PBE-GGA, optimized geometry)
# Energy relative to the elements, uncorrected (eV/atom): -1.9987
# Size of the total moment (μB/cell): 0.00
data_CsPa3Tl4O12
_chemical_formula_sum 'Cs2 Pa6 Tl8 O24'
_cell_length_a 9.1439
_cell_length_b 9.1439
_cell_length_c 9.1439
_cell_angle_alpha 90.00
_cell_angle_beta 90.00
_cell_angle_gamma 90.00
_space_group_name_H-M_alt 'I m -3 m'
_space_group_IT_number 229
_space_group_name_Hall '-I 4 2 3'
loop_
_atom_site_label
_atom_site_type_symbol
_atom_site_fract_x
_atom_site_fract_y
_atom_site_fract_z
_atom_site_occupancy
Cs1 Cs 0.0000 0.0000 0.0000 1
Pa1 Pa 0.0000 0.0000 0.5000 1
Tl1 Tl 0.2500 0.2500 0.2500 1
O1 O 0.0000 0.0000 0.2862 1
O2 O 0.0000 0.2500 0.5000 1


Record 5
# LaFe3Rh (PBE-GGA, optimized geometry)
# ΔH_f (0 K) (eV per atom): 0.948
# Size of the total moment (μB/cell): 0.00
# Excess energy over the best structure of this formula in the dataset (eV/atom): 0.000
data_LaFe3Rh
_chemical_formula_sum 'La1 Fe3 Rh1'
_cell_length_a 4.5110
_cell_length_b 4.5110
_cell_length_c 4.5110
_cell_angle_alpha 90.00
_cell_angle_beta 90.00
_cell_angle_gamma 90.00
_space_group_name_H-M_alt 'P m -3 m'
_space_group_IT_number 221
_space_group_name_Hall '-P 4 2 3'
loop_
_atom_site_label
_atom_site_type_symbol
_atom_site_fract_x
_atom_site_fract_y
_atom_site_fract_z
_atom_site_occupancy
La1 La 0.0000 0.0000 0.0000 1
Fe1 Fe 0.0000 0.5000 0.5000 1
Rh1 Rh 0.5000 0.5000 0.5000 1


Record 6
# Y2MnRe (PBE-GGA, optimized geometry)
# ΔH_f (0 K) (eV per atom): 0.268
# Size of the total moment (μB/cell): 0.00
# Excess energy over the best structure of this formula in the dataset (eV/atom): 0.187
data_Y2MnRe
_chemical_formula_sum 'Y2 Mn1 Re1'
_cell_length_a 3.3310
_cell_length_b 3.9838
_cell_length_c 6.9070
_cell_angle_alpha 90.00
_cell_angle_beta 102.34
_cell_angle_gamma 90.00
_space_group_name_H-M_alt 'P 1 m 1'
_space_group_IT_number 6
loop_
_space_group_symop_operation_xyz
'x,y,z'
'x,-y,z'
loop_
_atom_site_label
_atom_site_type_symbol
_atom_site_fract_x
_atom_site_fract_y
_atom_site_fract_z
_atom_site_occupancy
Y1 Y 0.0000 0.0000 0.0000 1
Y2 Y 0.3165 0.5000 0.6073 1
Mn1 Mn 0.5252 0.5000 0.2278 1
Re1 Re 0.7563 0.0000 0.3745 1


Record 7
# TaCrP2 (PBE-GGA, optimized geometry)
# ΔH_f (0 K) (eV per atom): -0.644
# Size of the total moment (μB/cell): 0.00
# Excess energy over the best structure of this formula in the dataset (eV/atom): 0.000
data_TaCrP2
_chemical_formula_sum 'Ta1 Cr1 P2'
_cell_length_a 3.2104
_cell_length_b 3.2104
_cell_length_c 6.3385
_cell_angle_alpha 90.00
_cell_angle_beta 90.00
_cell_angle_gamma 120.00
_space_group_name_H-M_alt 'P -3 m 1'
_space_group_IT_number 164
_space_group_name_Hall '-P 3 2"'
loop_
_atom_site_label
_atom_site_type_symbol
_atom_site_fract_x
_atom_site_fract_y
_atom_site_fract_z
_atom_site_occupancy
Ta1 Ta 0.0000 0.0000 0.0000 1
Cr1 Cr 0.0000 0.0000 0.5000 1
P1 P 0.3333 0.6667 0.7295 1


Record 8
# LiSi2Tc (PBE-GGA, optimized geometry)
# Energy relative to the elements, uncorrected (eV/atom): 0.3772
# Size of the total moment (μB/cell): 0.00
# Excess energy over the best structure of this formula in the dataset (eV/atom): 0.676
data_LiSi2Tc
_chemical_formula_sum 'Li4 Si8 Tc4'
_cell_length_a 4.7700
_cell_length_b 4.7700
_cell_length_c 15.4196
_cell_angle_alpha 90.00
_cell_angle_beta 90.00
_cell_angle_gamma 90.00
_space_group_name_H-M_alt 'I -4 2 d'
_space_group_IT_number 122
_space_group_name_Hall 'I -4 2bw'
loop_
_atom_site_label
_atom_site_type_symbol
_atom_site_fract_x
_atom_site_fract_y
_atom_site_fract_z
_atom_site_occupancy
Li1 Li 0.0000 0.0000 0.0000 1
Si1 Si 0.0943 0.2500 0.6250 1
Tc1 Tc 0.0000 0.0000 0.5000 1


> Look up the size of the total moment of the second one.

0.00 μB/cell